[1]
DFT (PBE) results for crystalline Na4PmPb15 at its relaxed geometry.

Cell lengths 4.9191, 4.9191, 24.6960 Å; angles 90.00, 90.00, 90.00 degrees
Last column: nearest neighbours and their distance in Å.
Positions (direct):
1 Na 0.0000 0.0000 0.1990  12 Pb 3.45-3.51
2 Na 0.0000 0.0000 0.3998  12 Pb 3.48-3.49
3 Na 0.0000 0.0000 0.6002  12 Pb 3.48-3.49
4 Na 0.0000 0.0000 0.8010  12 Pb 3.45-3.51
5 Pm 0.0000 0.0000 0.0000  12 Pb 3.48-3.50
6 Pb 0.5000 0.5000 0.0000  4 Pm 3.48, 8 Pb 3.50
7 Pb 0.5000 0.5000 0.2008  8 Pb 3.47-3.48, 4 Na 3.48
8 Pb 0.5000 0.5000 0.3997  8 Pb 3.48-3.49, 4 Na 3.48
9 Pb 0.5000 0.5000 0.6003  8 Pb 3.48-3.49, 4 Na 3.48
10 Pb 0.5000 0.5000 0.7992  8 Pb 3.47-3.48, 4 Na 3.48
11 Pb 0.5000 0.0000 0.1009  2 Na 3.45, 8 Pb 3.48-3.50, 2 Pm 3.50
12 Pb 0.5000 0.0000 0.3001  8 Pb 3.47-3.48, 4 Na 3.48-3.51
13 Pb 0.5000 0.0000 0.5000  8 Pb 3.48-3.49, 4 Na 3.49
14 Pb 0.5000 0.0000 0.6999  8 Pb 3.47-3.48, 4 Na 3.48-3.51
15 Pb 0.5000 0.0000 0.8991  2 Na 3.45, 8 Pb 3.48-3.50, 2 Pm 3.50
16 Pb 0.0000 0.5000 0.1009  2 Na 3.45, 8 Pb 3.48-3.50, 2 Pm 3.50
17 Pb 0.0000 0.5000 0.3001  8 Pb 3.47-3.48, 4 Na 3.48-3.51
18 Pb 0.0000 0.5000 0.5000  8 Pb 3.48-3.49, 4 Na 3.49
19 Pb 0.0000 0.5000 0.6999  8 Pb 3.47-3.48, 4 Na 3.48-3.51
20 Pb 0.0000 0.5000 0.8991  2 Na 3.45, 8 Pb 3.48-3.50, 2 Pm 3.50

Properties
Its formation energy is -0.16 eV per atom. Its magnetic moment is 0.00 μB per cell. Its density of states at the Fermi level is 0.5692 states/eV/atom. The space-group type is P4/mmm.

---

[2]
DFT (PBE) results for crystalline Na2PmPb3 at its relaxed geometry.

Cell lengths 5.0269, 7.9618, 9.2604 Å; angles 90.00, 90.00, 71.60 degrees
Last column: nearest neighbours and their distance in Å.
Positions (direct):
1 Na 0.0000 0.0000 0.0000  8 Pb 3.39-3.40, 4 Pm 3.50
2 Na 0.0000 0.0000 0.5000  8 Pb 3.44-3.45, 4 Na 3.53
3 Na 0.3357 0.3286 0.5000  8 Pb 3.43-3.47, 4 Na 3.53-3.61
4 Na 0.6643 0.6714 0.5000  8 Pb 3.43-3.47, 4 Na 3.53-3.61
5 Pm 0.3386 0.3228 0.0000  8 Pb 3.33-3.46, 2 Na 3.50, 2 Pm 3.67
6 Pm 0.6614 0.6772 0.0000  8 Pb 3.33-3.46, 2 Na 3.50, 2 Pm 3.67
7 Pb 0.8334 0.3331 0.7530  3 Pm 3.40-3.46, 5 Na 3.40-3.47, 4 Pb 3.56
8 Pb 0.5000 0.0000 0.2450  2 Pm 3.33, 6 Na 3.39-3.45, 4 Pb 3.56
9 Pb 0.1666 0.6669 0.2470  3 Pm 3.40-3.46, 5 Na 3.40-3.47, 4 Pb 3.56
10 Pb 0.8335 0.3331 0.2470  3 Pm 3.40-3.46, 5 Na 3.40-3.47, 4 Pb 3.56
11 Pb 0.1665 0.6669 0.7530  3 Pm 3.40-3.46, 5 Na 3.40-3.47, 4 Pb 3.56
12 Pb 0.5000 0.0000 0.7550  2 Pm 3.33, 6 Na 3.39-3.45, 4 Pb 3.56

Properties
Its formation energy is -0.26 eV per atom. Its magnetic moment is 0.00 μB per cell. Its density of states at the Fermi level is 0.6140 states/eV/atom. The space-group type is Cmmm.

---

[3]
DFT (PBE) results for crystalline NaPmPrPb at its relaxed geometry.

Cell lengths 5.5502, 5.5502, 5.5502 Å; angles 60.00, 60.00, 60.00 degrees
Last column: nearest neighbours and their distance in Å.
Positions (direct):
1 Pb 0.5000 0.5000 0.5000  4 Pr 3.40, 4 Pm 3.40
2 Pr 0.2500 0.2500 0.2500  4 Pb 3.40, 4 Na 3.40
3 Na 0.0000 0.0000 0.0000  4 Pr 3.40, 4 Pm 3.40
4 Pm 0.7500 0.7500 0.7500  4 Na 3.40, 4 Pb 3.40

Properties
Its formation energy is -0.23 eV per atom. Its magnetic moment is 0.00 μB per cell. Its density of states at the Fermi level is 0.7297 states/eV/atom. The space-group type is F-43m.

---

- Number 2 is which compound?
  Na2PmPb3